1.
# Tc2TeOsI (PBE, optimized geometry)
data_Tc2TeOsI
_chemical_formula_sum 'Tc2 Te1 Os1 I1'
_symmetry_space_group_name_H-M 'P 4/m m m'
_symmetry_Int_Tables_number 123
_symmetry_space_group_name_Hall '-P 4 2'
_cell_length_a 4.8499
_cell_length_b 4.8499
_cell_length_c 5.2838
_cell_angle_alpha 90.00
_cell_angle_beta 90.00
_cell_angle_gamma 90.00
loop_
_atom_site_label
_atom_site_type_symbol
_atom_site_fract_x
_atom_site_fract_y
_atom_site_fract_z
Tc1 Tc 0.0000 0.5000 0.0000
Te1 Te 0.0000 0.0000 0.5000
Os1 Os 0.5000 0.5000 0.0000
I1 I 0.5000 0.5000 0.5000
# **Final energy**: -28.46 eV per cell
# **E_form (uncorrected)**: 1639.7 meV per atom

---

2.
# IrRhAuI (PBE, optimized geometry)
data_IrRhAuI
_chemical_formula_sum 'Ir2 Rh2 Au2 I2'
_symmetry_space_group_name_H-M 'C 1 m 1'
_symmetry_Int_Tables_number 8
_cell_length_a 6.3302
_cell_length_b 4.4756
_cell_length_c 6.1751
_cell_angle_alpha 90.00
_cell_angle_beta 120.30
_cell_angle_gamma 90.00
loop_
_symmetry_equiv_pos_as_xyz
'x,y,z'
'x,-y,z'
'x+1/2,y+1/2,z'
'x+1/2,-y+1/2,z'
loop_
_atom_site_label
_atom_site_type_symbol
_atom_site_fract_x
_atom_site_fract_y
_atom_site_fract_z
Ir1 Ir 0.0000 0.0000 0.0000
Rh1 Rh 0.0028 0.0000 0.5030
Au1 Au 0.0032 0.5000 0.7533
I1 I 0.4873 0.0000 0.2484
# **Final energy**: -36.81 eV per cell
# **Energy above the lowest structure with this stoichiometry**: 181 meV/atom
# **E_form (uncorrected)**: 659.1 meV per atom

---

3.
# Si2POs2 (PBE, optimized geometry)
data_Si2POs2
_chemical_formula_sum 'Si4 P2 Os4'
_symmetry_space_group_name_H-M 'I 4/m m m'
_symmetry_Int_Tables_number 139
_symmetry_space_group_name_Hall '-I 4 2'
_cell_length_a 4.2413
_cell_length_b 4.2413
_cell_length_c 8.7732
_cell_angle_alpha 90.00
_cell_angle_beta 90.00
_cell_angle_gamma 90.00
loop_
_atom_site_label
_atom_site_type_symbol
_atom_site_fract_x
_atom_site_fract_y
_atom_site_fract_z
Si1 Si 0.0000 0.0000 0.1275
P1 P 0.0000 0.0000 0.5000
Os1 Os 0.0000 0.5000 0.2500
# **Final energy**: -74.62 eV per cell
# **E_form (uncorrected)**: 280.9 meV per atom

---

4.
# Na2CrSnCl6 (PBE, optimized geometry)
data_Na2CrSnCl6
_chemical_formula_sum 'Na6 Cr3 Sn3 Cl18'
_symmetry_space_group_name_H-M 'R 3'
_symmetry_Int_Tables_number 146
_symmetry_space_group_name_Hall 'R 3'
_cell_length_a 6.9263
_cell_length_b 6.9263
_cell_length_c 18.6354
_cell_angle_alpha 90.00
_cell_angle_beta 90.00
_cell_angle_gamma 120.00
loop_
_atom_site_label
_atom_site_type_symbol
_atom_site_fract_x
_atom_site_fract_y
_atom_site_fract_z
Na1 Na 0.0000 0.0000 0.0000
Na2 Na 0.0000 0.0000 0.4922
Cr1 Cr 0.0000 0.0000 0.6926
Sn1 Sn 0.0000 0.0000 0.1977
Cl1 Cl 0.0138 0.3802 0.4322
Cl2 Cl 0.0556 0.6848 0.2757
# **Final energy**: -120.19 eV per cell
# **E_form (uncorrected)**: -1271.9 meV per atom

---

5.
# Y3Er4Al4 (PBE, optimized geometry)
data_Y3Er4Al4
_chemical_formula_sum 'Y6 Er8 Al8'
_symmetry_space_group_name_H-M 'I m m m'
_symmetry_Int_Tables_number 71
_symmetry_space_group_name_Hall '-I 2 2'
_cell_length_a 5.1113
_cell_length_b 6.7130
_cell_length_c 16.9141
_cell_angle_alpha 90.00
_cell_angle_beta 90.00
_cell_angle_gamma 90.00
loop_
_atom_site_label
_atom_site_type_symbol
_atom_site_fract_x
_atom_site_fract_y
_atom_site_fract_z
Y1 Y 0.0000 0.0000 0.0000
Y2 Y 0.0000 0.5000 0.1005
Er1 Er 0.0000 0.2647 0.3199
Al1 Al 0.0000 0.0000 0.1741
Al2 Al 0.0000 0.2032 0.5000
# **Final energy**: -109.61 eV per cell
# **Formation enthalpy at 0 K**: -19.23 kJ/mol of atoms

---

6.
# ZrCdS3 (PBE, optimized geometry)
data_ZrCdS3
_chemical_formula_sum 'Zr2 Cd2 S6'
_symmetry_space_group_name_H-M 'P 1 21/m 1'
_symmetry_Int_Tables_number 11
_cell_length_a 6.4734
_cell_length_b 3.8294
_cell_length_c 10.3534
_cell_angle_alpha 90.00
_cell_angle_beta 90.30
_cell_angle_gamma 90.00
loop_
_symmetry_equiv_pos_as_xyz
'x,y,z'
'-x,-y,-z'
'-x,y+1/2,-z'
'x,-y+1/2,z'
loop_
_atom_site_label
_atom_site_type_symbol
_atom_site_fract_x
_atom_site_fract_y
_atom_site_fract_z
Zr1 Zr 0.2384 0.2500 0.0484
Cd1 Cd 0.4168 0.2500 0.6131
S1 S 0.0101 0.7500 0.1400
S2 S 0.2293 0.7500 0.5117
S3 S 0.4897 0.7500 0.1340
# **Final energy**: -53.09 eV per cell
# **Energy above the lowest structure with this stoichiometry**: 0 meV/atom
# **E_form (uncorrected)**: -939.5 meV per atom

---

7.
# LaHo5Sb6 (PBE, optimized geometry)
data_LaHo5Sb6
_chemical_formula_sum 'La2 Ho10 Sb12'
_symmetry_space_group_name_H-M 'C 1 2/m 1'
_symmetry_Int_Tables_number 12
_cell_length_a 7.6455
_cell_length_b 13.2458
_cell_length_c 7.6461
_cell_angle_alpha 90.00
_cell_angle_beta 109.53
_cell_angle_gamma 90.00
loop_
_symmetry_equiv_pos_as_xyz
'x,y,z'
'-x,-y,-z'
'-x,y,-z'
'x,-y,z'
'x+1/2,y+1/2,z'
'-x+1/2,-y+1/2,-z'
'-x+1/2,y+1/2,-z'
'x+1/2,-y+1/2,z'
loop_
_atom_site_label
_atom_site_type_symbol
_atom_site_fract_x
_atom_site_fract_y
_atom_site_fract_z
La1 La 0.0000 0.0000 0.0000
Ho1 Ho 0.0000 0.1633 0.5000
Ho2 Ho 0.0000 0.3322 0.0000
Ho3 Ho 0.0000 0.5000 0.5000
Sb1 Sb 0.2423 0.5000 0.2525
Sb2 Sb 0.2437 0.3294 0.7440
# **Final energy**: -132.29 eV per cell
# **E_form (uncorrected)**: -1132.9 meV per atom

---

8.
# LaMg9Cu3 (PBE, optimized geometry)
data_LaMg9Cu3
_chemical_formula_sum 'La2 Mg18 Cu6'
_symmetry_space_group_name_H-M 'C 1 2/m 1'
_symmetry_Int_Tables_number 12
_cell_length_a 5.4294
_cell_length_b 14.0890
_cell_length_c 7.4119
_cell_angle_alpha 90.00
_cell_angle_beta 110.22
_cell_angle_gamma 90.00
loop_
_symmetry_equiv_pos_as_xyz
'x,y,z'
'-x,-y,-z'
'-x,y,-z'
'x,-y,z'
'x+1/2,y+1/2,z'
'-x+1/2,-y+1/2,-z'
'-x+1/2,y+1/2,-z'
'x+1/2,-y+1/2,z'
loop_
_atom_site_label
_atom_site_type_symbol
_atom_site_fract_x
_atom_site_fract_y
_atom_site_fract_z
La1 La 0.0000 0.0000 0.0000
Mg1 Mg 0.0000 0.0000 0.5000
Mg2 Mg 0.0932 0.3884 0.2111
Mg3 Mg 0.1642 0.1791 0.3346
Cu1 Cu 0.0000 0.5000 0.5000
Cu2 Cu 0.2500 0.2500 0.0000
# **Final energy**: -65.74 eV per cell
# **Formation enthalpy at 0 K**: -9.67 kJ/mol of atoms

---

9.
# CaHPb (PBE, optimized geometry)
data_CaHPb
_chemical_formula_sum 'Ca4 H4 Pb4'
_symmetry_space_group_name_H-M 'P n m a'
_symmetry_Int_Tables_number 62
_cell_length_a 14.9300
_cell_length_b 4.5019
_cell_length_c 3.8246
_cell_angle_alpha 90.00
_cell_angle_beta 90.00
_cell_angle_gamma 90.00
loop_
_symmetry_equiv_pos_as_xyz
'x,y,z'
'-x,-y,-z'
'-x+1/2,-y,z+1/2'
'x+1/2,y,-z+1/2'
'x+1/2,-y+1/2,-z+1/2'
'-x+1/2,y+1/2,z+1/2'
'-x,y+1/2,-z'
'x,-y+1/2,z'
loop_
_atom_site_label
_atom_site_type_symbol
_atom_site_fract_x
_atom_site_fract_y
_atom_site_fract_z
Ca1 Ca 0.1733 0.2500 0.0071
H1 H 0.2490 0.7500 0.0071
Pb1 Pb 0.0666 0.7500 0.5112
# **Final energy**: -41.09 eV per cell
# **Energy above the lowest structure with this stoichiometry**: 66 meV/atom

---

10.
# TaBePt2 (PBE, optimized geometry)
data_TaBePt2
_chemical_formula_sum 'Ta2 Be2 Pt4'
_symmetry_space_group_name_H-M 'C 1 m 1'
_symmetry_Int_Tables_number 8
_cell_length_a 9.0300
_cell_length_b 2.8054
_cell_length_c 4.8453
_cell_angle_alpha 90.00
_cell_angle_beta 99.39
_cell_angle_gamma 90.00
loop_
_symmetry_equiv_pos_as_xyz
'x,y,z'
'x,-y,z'
'x+1/2,y+1/2,z'
'x+1/2,-y+1/2,z'
loop_
_atom_site_label
_atom_site_type_symbol
_atom_site_fract_x
_atom_site_fract_y
_atom_site_fract_z
Ta1 Ta 0.0000 0.0000 0.0000
Be1 Be 0.2337 0.0000 0.6172
Pt1 Pt 0.0056 0.5000 0.5229
Pt2 Pt 0.2506 0.5000 0.2000
# **Final energy**: -59.14 eV per cell
# **Formation enthalpy at 0 K**: -46.05 kJ/mol of atoms

---

11.
# Pr6ZnGe2I3 (PBE, optimized geometry)
data_Pr6ZnGe2I3
_chemical_formula_sum 'Pr12 Zn2 Ge4 I6'
_symmetry_space_group_name_H-M 'C 1 2/m 1'
_symmetry_Int_Tables_number 12
_cell_length_a 7.6124
_cell_length_b 13.1996
_cell_length_c 8.0592
_cell_angle_alpha 90.00
_cell_angle_beta 108.38
_cell_angle_gamma 90.00
loop_
_symmetry_equiv_pos_as_xyz
'x,y,z'
'-x,-y,-z'
'-x,y,-z'
'x,-y,z'
'x+1/2,y+1/2,z'
'-x+1/2,-y+1/2,-z'
'-x+1/2,y+1/2,-z'
'x+1/2,-y+1/2,z'
loop_
_atom_site_label
_atom_site_type_symbol
_atom_site_fract_x
_atom_site_fract_y
_atom_site_fract_z
Pr1 Pr 0.2332 0.0000 0.2080
Pr2 Pr 0.2363 0.3319 0.2067
Zn1 Zn 0.0000 0.5000 0.0000
Ge1 Ge 0.0000 0.1659 0.0000
I1 I 0.0000 0.0000 0.5000
I2 I 0.0000 0.3315 0.5000
# **Final energy**: -108.41 eV per cell
# **E_form (uncorrected)**: -863.9 meV per atom

---

12.
# Th2RuPb (PBE, optimized geometry)
data_Th2RuPb
_chemical_formula_sum 'Th8 Ru4 Pb4'
_symmetry_space_group_name_H-M 'C m c m'
_symmetry_Int_Tables_number 63
_symmetry_space_group_name_Hall '-C 2c 2'
_cell_length_a 4.0644
_cell_length_b 15.0802
_cell_length_c 7.3353
_cell_angle_alpha 90.00
_cell_angle_beta 90.00
_cell_angle_gamma 90.00
loop_
_atom_site_label
_atom_site_type_symbol
_atom_site_fract_x
_atom_site_fract_y
_atom_site_fract_z
Th1 Th 0.0000 0.1455 0.0016
Ru1 Ru 0.0000 0.3042 0.2500
Pb1 Pb 0.0000 0.4980 0.7500
# **Final energy**: -117.42 eV per cell
# **Energy above the lowest structure with this stoichiometry**: 36 meV/atom
# **Formation enthalpy at 0 K**: -36.91 kJ/mol of atoms

---

13.
# MgAlSbTe2 (PBE, optimized geometry)
data_MgAlSbTe2
_chemical_formula_sum 'Mg1 Al1 Sb1 Te2'
_symmetry_space_group_name_H-M 'P 4/m m m'
_symmetry_Int_Tables_number 123
_symmetry_space_group_name_Hall '-P 4 2'
_cell_length_a 5.3941
_cell_length_b 5.3941
_cell_length_c 5.2599
_cell_angle_alpha 90.00
_cell_angle_beta 90.00
_cell_angle_gamma 90.00
loop_
_atom_site_label
_atom_site_type_symbol
_atom_site_fract_x
_atom_site_fract_y
_atom_site_fract_z
Mg1 Mg 0.0000 0.0000 0.0000
Al1 Al 0.5000 0.5000 0.5000
Sb1 Sb 0.5000 0.5000 0.0000
Te1 Te 0.0000 0.5000 0.5000
# **Final energy**: -14.44 eV per cell
# **Energy above the lowest structure with this stoichiometry**: 0 meV/atom
# **E_form (uncorrected)**: 259.9 meV per atom

---

14.
# Fe2Se (PBE, optimized geometry)
data_Fe2Se
_chemical_formula_sum 'Fe8 Se4'
_symmetry_space_group_name_H-M 'P a -3'
_symmetry_Int_Tables_number 205
_symmetry_space_group_name_Hall '-P 2ac 2ab 3'
_cell_length_a 5.8216
_cell_length_b 5.8216
_cell_length_c 5.8216
_cell_angle_alpha 90.00
_cell_angle_beta 90.00
_cell_angle_gamma 90.00
loop_
_atom_site_label
_atom_site_type_symbol
_atom_site_fract_x
_atom_site_fract_y
_atom_site_fract_z
Fe1 Fe 0.1238 0.1238 0.1238
Se1 Se 0.0000 0.0000 0.5000
# **Final energy**: -76.71 eV per cell
# **Energy above the lowest structure with this stoichiometry**: 552 meV/atom
# **E_form (uncorrected)**: 410.5 meV per atom

---

15.
# Dy2HoIr (PBE, optimized geometry)
data_Dy2HoIr
_chemical_formula_sum 'Dy8 Ho4 Ir4'
_symmetry_space_group_name_H-M 'C m c m'
_symmetry_Int_Tables_number 63
_symmetry_space_group_name_Hall '-C 2c 2'
_cell_length_a 3.8937
_cell_length_b 12.0208
_cell_length_c 9.1052
_cell_angle_alpha 90.00
_cell_angle_beta 90.00
_cell_angle_gamma 90.00
loop_
_atom_site_label
_atom_site_type_symbol
_atom_site_fract_x
_atom_site_fract_y
_atom_site_fract_z
Dy1 Dy 0.0000 0.1414 0.0664
Ho1 Ho 0.0000 0.4251 0.2500
Ir1 Ir 0.0000 0.2472 0.7500
# **Final energy**: -99.33 eV per cell
# **Energy above the lowest structure with this stoichiometry**: 38 meV/atom
# **Formation enthalpy at 0 K**: -52.83 kJ/mol of atoms

---

16.
# La6Pm2Y3Mg (PBE, optimized geometry)
data_La6Pm2Y3Mg
_chemical_formula_sum 'La12 Pm4 Y6 Mg2'
_symmetry_space_group_name_H-M 'C 1 2/m 1'
_symmetry_Int_Tables_number 12
_cell_length_a 6.3330
_cell_length_b 10.9775
_cell_length_c 11.9847
_cell_angle_alpha 90.00
_cell_angle_beta 100.18
_cell_angle_gamma 90.00
loop_
_symmetry_equiv_pos_as_xyz
'x,y,z'
'-x,-y,-z'
'-x,y,-z'
'x,-y,z'
'x+1/2,y+1/2,z'
'-x+1/2,-y+1/2,-z'
'-x+1/2,y+1/2,-z'
'x+1/2,-y+1/2,z'
loop_
_atom_site_label
_atom_site_type_symbol
_atom_site_fract_x
_atom_site_fract_y
_atom_site_fract_z
La1 La 0.2480 0.0000 0.2495
La2 La 0.2482 0.1653 0.7499
Pm1 Pm 0.0000 0.3332 0.5000
Y1 Y 0.0000 0.1665 0.0000
Y2 Y 0.0000 0.5000 0.0000
Mg1 Mg 0.0000 0.0000 0.5000
# **Final energy**: -119.86 eV per cell
# **Formation enthalpy at 0 K**: 0.97 kJ/mol of atoms

---

17.
# Tb9Ho3Er2 (PBE, optimized geometry)
data_Tb9Ho3Er2
_chemical_formula_sum 'Tb9 Ho3 Er2'
_symmetry_space_group_name_H-M 'P -1'
_symmetry_Int_Tables_number 2
_cell_length_a 6.0459
_cell_length_b 6.7639
_cell_length_c 11.6134
_cell_angle_alpha 105.34
_cell_angle_beta 103.97
_cell_angle_gamma 90.41
loop_
_symmetry_equiv_pos_as_xyz
'x,y,z'
'-x,-y,-z'
loop_
_atom_site_label
_atom_site_type_symbol
_atom_site_fract_x
_atom_site_fract_y
_atom_site_fract_z
Tb1 Tb 0.0000 0.0000 0.0000
Tb2 Tb 0.0756 0.9277 0.2909
Tb3 Tb 0.2299 0.4293 0.2884
Tb4 Tb 0.3505 0.7496 0.8459
Tb5 Tb 0.3605 0.8542 0.5721
Ho1 Ho 0.0000 0.5000 0.0000
Ho2 Ho 0.2080 0.3539 0.5724
Er1 Er 0.4744 0.2547 0.8559
# **Final energy**: -63.63 eV per cell
# **Formation enthalpy at 0 K**: 6.24 kJ/mol of atoms

---

18.
# Na3PaAg2Te6 (PBE, optimized geometry)
data_Na3PaAg2Te6
_chemical_formula_sum 'Na6 Pa2 Ag4 Te12'
_symmetry_space_group_name_H-M 'C 1 2/m 1'
_symmetry_Int_Tables_number 12
_cell_length_a 7.1240
_cell_length_b 12.9768
_cell_length_c 8.1642
_cell_angle_alpha 90.00
_cell_angle_beta 107.46
_cell_angle_gamma 90.00
loop_
_symmetry_equiv_pos_as_xyz
'x,y,z'
'-x,-y,-z'
'-x,y,-z'
'x,-y,z'
'x+1/2,y+1/2,z'
'-x+1/2,-y+1/2,-z'
'-x+1/2,y+1/2,-z'
'x+1/2,-y+1/2,z'
loop_
_atom_site_label
_atom_site_type_symbol
_atom_site_fract_x
_atom_site_fract_y
_atom_site_fract_z
Na1 Na 0.0000 0.0000 0.0000
Na2 Na 0.0000 0.3296 0.0000
Pa1 Pa 0.0000 0.5000 0.5000
Ag1 Ag 0.0000 0.1600 0.5000
Te1 Te 0.2492 0.0000 0.7349
Te2 Te 0.2500 0.1663 0.2778
# **Final energy**: -89.61 eV per cell
# **E_form (uncorrected)**: -566.6 meV per atom

---

19.
# LiCd4Ag2 (PBE, optimized geometry)
data_LiCd4Ag2
_chemical_formula_sum 'Li2 Cd8 Ag4'
_symmetry_space_group_name_H-M 'P b a m'
_symmetry_Int_Tables_number 55
_cell_length_a 6.8869
_cell_length_b 13.4955
_cell_length_c 3.0658
_cell_angle_alpha 90.00
_cell_angle_beta 90.00
_cell_angle_gamma 90.00
loop_
_symmetry_equiv_pos_as_xyz
'x,y,z'
'-x,-y,-z'
'-x,-y,z'
'x,y,-z'
'x+1/2,-y+1/2,-z'
'-x+1/2,y+1/2,z'
'-x+1/2,y+1/2,-z'
'x+1/2,-y+1/2,z'
loop_
_atom_site_label
_atom_site_type_symbol
_atom_site_fract_x
_atom_site_fract_y
_atom_site_fract_z
Li1 Li 0.0000 0.0000 0.0000
Cd1 Cd 0.0313 0.2306 0.0000
Cd2 Cd 0.1735 0.5892 0.5000
Ag1 Ag 0.2463 0.3812 0.5000
# **Final energy**: -23.67 eV per cell
# **Energy above the lowest structure with this stoichiometry**: 0 meV/atom
# **Formation enthalpy at 0 K**: -7.71 kJ/mol of atoms

---

20.
# BaMg2Zn (PBE, optimized geometry)
data_BaMg2Zn
_chemical_formula_sum 'Ba2 Mg4 Zn2'
_symmetry_space_group_name_H-M 'C 1 2/m 1'
_symmetry_Int_Tables_number 12
_cell_length_a 6.4791
_cell_length_b 12.1736
_cell_length_c 3.4500
_cell_angle_alpha 90.00
_cell_angle_beta 118.10
_cell_angle_gamma 90.00
loop_
_symmetry_equiv_pos_as_xyz
'x,y,z'
'-x,-y,-z'
'-x,y,-z'
'x,-y,z'
'x+1/2,y+1/2,z'
'-x+1/2,-y+1/2,-z'
'-x+1/2,y+1/2,-z'
'x+1/2,-y+1/2,z'
loop_
_atom_site_label
_atom_site_type_symbol
_atom_site_fract_x
_atom_site_fract_y
_atom_site_fract_z
Ba1 Ba 0.0000 0.0000 0.0000
Mg1 Mg 0.2500 0.2500 0.5000
Zn1 Zn 0.0000 0.5000 0.0000
# **Final energy**: -11.48 eV per cell
# **Formation enthalpy at 0 K**: 15.60 kJ/mol of atoms